VASP calculation (PBE) on crystalline Re2HgIr at its relaxed geometry.

Unit cell a=2.840 b=2.840 c=8.043 alpha=90.00 beta=90.00 gamma=90.00
Positions (direct):
Re 0.000 0.000 0.999
Re 0.500 0.500 0.223
Hg 0.000 0.000 0.502
Ir 0.500 0.500 0.775

The calculation puts the total energy at -8.2110 eV per atom. The spin magnetization is 0.00 μB/cell. The calculation puts the formation energy at 0.304 eV/atom. The value obtained for the density is 19.591 Mg/m³.



VASP calculation (PBE) on crystalline ReHgIr2 at its relaxed geometry.

Unit cell a=3.810 b=2.833 c=6.603 alpha=64.65 beta=90.00 gamma=90.00
Positions (direct):
Ir 0.000 0.528 0.472
Ir 0.000 0.972 0.028
Re 0.500 0.250 0.250
Hg 0.500 0.750 0.750

The calculation puts the total energy at -7.3421 eV per atom. The spin magnetization is 0.00 μB/cell. The calculation puts the formation energy at 0.276 eV/atom. The value obtained for the density is 19.885 Mg/m³.



VASP calculation (PBE) on crystalline ReHg2Ir at its relaxed geometry.

Unit cell a=2.877 b=5.017 c=4.928 alpha=90.00 beta=90.00 gamma=90.00
Positions (direct):
Ir 0.500 0.000 0.500
Re 0.000 0.500 0.500
Hg 0.000 0.000 0.000
Hg 0.500 0.500 0.000

The calculation puts the total energy at -4.6948 eV per atom. The spin magnetization is 0.89 μB/cell. The calculation puts the formation energy at 0.783 eV/atom. The value obtained for the density is 18.201 Mg/m³. Its offset from the most stable computed form is 496.0 meV/atom.



VASP calculation (PBE) on crystalline ReHgIr at its relaxed geometry.

Unit cell a=4.552 b=4.552 c=2.765 alpha=90.00 beta=90.00 gamma=120.00
Positions (direct):
Ir 0.667 0.333 0.167
Re 0.333 0.667 0.667
Hg 0.000 0.000 0.166

The calculation puts the total energy at -6.4064 eV per atom. The spin magnetization is 0.00 μB/cell. The calculation puts the formation energy at 0.797 eV/atom. The value obtained for the density is 19.375 Mg/m³. Its offset from the most stable computed form is 482.7 meV/atom.



VASP calculation (PBE) on crystalline ReHg2Ir at its relaxed geometry.

Unit cell a=2.886 b=2.886 c=9.797 alpha=90.00 beta=90.00 gamma=119.79
Positions (direct):
Hg 0.000 0.000 0.496
Hg 0.000 0.000 0.004
Ir 0.500 0.500 0.250
Re 0.500 0.500 0.750

The calculation puts the total energy at -4.6903 eV per atom. The spin magnetization is 0.00 μB/cell. The calculation puts the formation energy at 0.788 eV/atom. The value obtained for the density is 18.277 Mg/m³. Its offset from the most stable computed form is 500.5 meV/atom.



VASP calculation (PBE) on crystalline ReHgIr2 at its relaxed geometry.

Unit cell a=9.437 b=9.437 c=9.437 alpha=17.27 beta=17.27 gamma=17.27
Positions (direct):
Ir 0.992 0.992 0.992
Ir 0.508 0.508 0.508
Re 0.250 0.250 0.250
Hg 0.750 0.750 0.750

The calculation puts the total energy at -7.4546 eV per atom. The spin magnetization is 0.00 μB/cell. The calculation puts the formation energy at 0.163 eV/atom. The value obtained for the density is 19.819 Mg/m³.



VASP calculation (PBE) on crystalline ReHg2Ir at its relaxed geometry.

Unit cell a=4.994 b=4.994 c=5.113 alpha=80.60 beta=80.60 gamma=33.71
Positions (direct):
Ir 0.750 0.750 0.750
Hg 0.000 0.000 0.999
Hg 0.500 0.500 0.501
Re 0.250 0.250 0.250

The calculation puts the total energy at -4.7202 eV per atom. The spin magnetization is 0.00 μB/cell. The calculation puts the formation energy at 0.758 eV/atom. The value obtained for the density is 18.565 Mg/m³. Its offset from the most stable computed form is 470.6 meV/atom.



VASP calculation (PBE) on crystalline ReHg2Ir2 at its relaxed geometry.

Unit cell a=7.781 b=7.781 c=2.930 alpha=90.00 beta=90.00 gamma=90.00
Positions (direct):
Ir 0.323 0.177 0.500
Ir 0.823 0.323 0.500
Ir 0.177 0.677 0.500
Ir 0.677 0.823 0.500
Re 0.500 0.500 0.000
Re 0.000 0.000 0.000
Hg 0.375 0.875 0.000
Hg 0.875 0.625 0.000
Hg 0.125 0.375 0.000
Hg 0.625 0.125 0.000

The calculation puts the total energy at -5.0128 eV per atom. The spin magnetization is 2.07 μB/cell. The calculation puts the formation energy at 1.142 eV/atom. The value obtained for the density is 18.194 Mg/m³. Its offset from the most stable computed form is 0.0 meV/atom.



VASP calculation (PBE) on crystalline ReHgIr2 at its relaxed geometry.

Unit cell a=2.792 b=2.792 c=9.727 alpha=90.00 beta=90.00 gamma=119.99
Positions (direct):
Ir 0.000 0.000 0.013
Ir 0.500 0.500 0.253
Re 0.000 0.000 0.481
Hg 0.500 0.500 0.754

The calculation puts the total energy at -7.0410 eV per atom. The spin magnetization is 0.00 μB/cell. The calculation puts the formation energy at 0.577 eV/atom. The value obtained for the density is 19.502 Mg/m³.



VASP calculation (PBE) on crystalline ReHg2Ir at its relaxed geometry.

Unit cell a=7.677 b=7.677 c=6.045 alpha=50.58 beta=50.58 gamma=90.00
Positions (direct):
Hg 0.628 0.125 0.250
Hg 0.375 0.372 0.750
Hg 0.875 0.878 0.750
Hg 0.122 0.625 0.250
Ir 0.750 0.250 0.500
Ir 0.000 0.000 0.000
Re 0.500 0.500 0.000
Re 0.250 0.750 0.500

The calculation puts the total energy at -4.2057 eV per atom. The spin magnetization is 2.47 μB/cell. The calculation puts the formation energy at 1.272 eV/atom. The value obtained for the density is 16.521 Mg/m³. Its offset from the most stable computed form is 985.0 meV/atom.



VASP calculation (PBE) on crystalline Re2HgIr at its relaxed geometry.

Unit cell a=2.766 b=2.766 c=8.395 alpha=90.00 beta=90.00 gamma=90.00
Positions (direct):
Hg 0.500 0.500 0.250
Re 0.000 0.000 0.521
Re 0.000 0.000 0.979
Ir 0.500 0.500 0.750

The calculation puts the total energy at -8.0385 eV per atom. The spin magnetization is 0.00 μB/cell. The calculation puts the formation energy at 0.476 eV/atom. The value obtained for the density is 19.785 Mg/m³.



VASP calculation (PBE) on crystalline ReHgIr3 at its relaxed geometry.

Unit cell a=4.763 b=4.763 c=4.763 alpha=90.00 beta=90.00 gamma=90.00
Positions (direct):
Ir 0.000 0.500 0.000
Ir 0.000 0.000 0.500
Ir 0.500 0.000 0.000
Hg 0.500 0.500 0.500
Re 0.000 0.000 0.000

The calculation puts the total energy at -6.2546 eV per atom. The spin magnetization is 0.00 μB/cell. The calculation puts the formation energy at 1.612 eV/atom. The value obtained for the density is 14.807 Mg/m³. Its offset from the most stable computed form is 0.0 meV/atom.



VASP calculation (PBE) on crystalline ReHgIr2 at its relaxed geometry.

Unit cell a=4.873 b=4.873 c=2.821 alpha=90.00 beta=90.00 gamma=108.25
Positions (direct):
Re 0.500 0.000 0.500
Hg 0.000 0.500 0.500
Ir 0.500 0.500 0.000
Ir 0.000 0.000 0.000

The calculation puts the total energy at -7.1314 eV per atom. The spin magnetization is 0.00 μB/cell. The calculation puts the formation energy at 0.487 eV/atom. The value obtained for the density is 20.126 Mg/m³.



VASP calculation (PBE) on crystalline Re2HgIr at its relaxed geometry.

Unit cell a=4.876 b=4.876 c=4.994 alpha=80.05 beta=80.05 gamma=33.64
Positions (direct):
Ir 0.263 0.263 0.233
Re 0.997 0.997 0.985
Re 0.738 0.738 0.790
Hg 0.502 0.502 0.492

The calculation puts the total energy at -8.0094 eV per atom. The spin magnetization is 0.00 μB/cell. The calculation puts the formation energy at 0.505 eV/atom. The value obtained for the density is 19.637 Mg/m³.



VASP calculation (PBE) on crystalline ReHgIr3 at its relaxed geometry.

Unit cell a=4.831 b=4.831 c=4.831 alpha=90.00 beta=90.00 gamma=90.00
Positions (direct):
Hg 0.000 0.000 0.000
Re 0.500 0.500 0.500
Ir 0.500 0.000 0.000
Ir 0.000 0.500 0.000
Ir 0.000 0.000 0.500

The calculation puts the total energy at -4.8269 eV per atom. The spin magnetization is 2.96 μB/cell. The calculation puts the formation energy at 3.040 eV/atom. The value obtained for the density is 14.194 Mg/m³. Its offset from the most stable computed form is 1427.7 meV/atom.



VASP calculation (PBE) on crystalline Re2HgIr at its relaxed geometry.

Unit cell a=5.773 b=5.773 c=5.773 alpha=152.26 beta=131.04 gamma=57.21
Positions (direct):
Ir 0.223 0.723 0.500
Re 0.998 0.998 0.000
Re 0.780 0.280 0.500
Hg 0.499 0.499 0.000

The calculation puts the total energy at -7.8682 eV per atom. The spin magnetization is 0.00 μB/cell. The calculation puts the formation energy at 0.647 eV/atom. The value obtained for the density is 18.927 Mg/m³.



VASP calculation (PBE) on crystalline Re2HgIr at its relaxed geometry.

Unit cell a=9.543 b=9.543 c=9.543 alpha=16.93 beta=16.93 gamma=16.93
Positions (direct):
Re 0.007 0.007 0.007
Re 0.493 0.493 0.493
Ir 0.750 0.750 0.750
Hg 0.250 0.250 0.250

The calculation puts the total energy at -8.1265 eV per atom. The spin magnetization is 0.00 μB/cell. The calculation puts the formation energy at 0.388 eV/atom. The value obtained for the density is 19.765 Mg/m³.



VASP calculation (PBE) on crystalline Re2HgIr at its relaxed geometry.

Unit cell a=5.069 b=5.069 c=5.069 alpha=135.16 beta=135.16 gamma=65.28
Positions (direct):
Re 0.000 0.000 0.000
Re 0.500 0.500 0.000
Ir 0.750 0.250 0.500
Hg 0.250 0.750 0.500

The calculation puts the total energy at -7.8606 eV per atom. The spin magnetization is 0.00 μB/cell. The calculation puts the formation energy at 0.654 eV/atom. The value obtained for the density is 19.908 Mg/m³.



VASP calculation (PBE) on crystalline Re2HgIr at its relaxed geometry.

Unit cell a=4.515 b=4.515 c=4.515 alpha=60.00 beta=60.00 gamma=60.00
Positions (direct):
Hg 0.500 0.500 0.500
Re 0.250 0.250 0.250
Re 0.000 0.000 0.000
Ir 0.750 0.750 0.750

The calculation puts the total energy at -7.7204 eV per atom. The spin magnetization is 1.13 μB/cell. The calculation puts the formation energy at 0.794 eV/atom. The value obtained for the density is 19.531 Mg/m³.



VASP calculation (PBE) on crystalline ReHgIr2 at its relaxed geometry.

Unit cell a=2.764 b=3.905 c=6.078 alpha=90.00 beta=90.00 gamma=90.00
Positions (direct):
Ir 0.500 0.500 0.264
Ir 0.000 0.000 0.027
Re 0.000 0.000 0.455
Hg 0.500 0.500 0.755

The calculation puts the total energy at -7.1899 eV per atom. The spin magnetization is 0.00 μB/cell. The calculation puts the formation energy at 0.428 eV/atom. The value obtained for the density is 19.523 Mg/m³.



VASP calculation (PBE) on crystalline ReHg2Ir2 at its relaxed geometry.

Unit cell a=3.526 b=3.526 c=8.362 alpha=77.83 beta=77.83 gamma=90.00
Positions (direct):
Hg 0.398 0.398 0.203
Hg 0.602 0.602 0.797
Ir 0.750 0.250 0.500
Ir 0.250 0.750 0.500
Re 0.000 0.000 0.000

The calculation puts the total energy at -4.8650 eV per atom. The spin magnetization is 2.96 μB/cell. The calculation puts the formation energy at 1.290 eV/atom. The value obtained for the density is 16.259 Mg/m³. Its offset from the most stable computed form is 147.8 meV/atom.



VASP calculation (PBE) on crystalline ReHgIr2 at its relaxed geometry.

Unit cell a=4.501 b=4.501 c=4.501 alpha=60.00 beta=60.00 gamma=60.00
Positions (direct):
Ir 0.250 0.250 0.250
Ir 0.000 0.000 0.000
Hg 0.500 0.500 0.500
Re 0.750 0.750 0.750

The calculation puts the total energy at -6.8407 eV per atom. The spin magnetization is 0.00 μB/cell. The calculation puts the formation energy at 0.777 eV/atom. The value obtained for the density is 19.860 Mg/m³.



VASP calculation (PBE) on crystalline ReHg2Ir at its relaxed geometry.

Unit cell a=4.964 b=4.964 c=4.964 alpha=130.05 beta=130.05 gamma=73.32
Positions (direct):
Re 0.750 0.250 0.500
Hg 0.250 0.750 0.500
Hg 0.000 0.000 0.000
Ir 0.500 0.500 0.000

The calculation puts the total energy at -4.5756 eV per atom. The spin magnetization is 0.00 μB/cell. The calculation puts the formation energy at 0.903 eV/atom. The value obtained for the density is 18.500 Mg/m³. Its offset from the most stable computed form is 615.2 meV/atom.



VASP calculation (PBE) on crystalline ReHg2Ir at its relaxed geometry.

Unit cell a=4.644 b=4.644 c=4.644 alpha=60.00 beta=60.00 gamma=60.00
Positions (direct):
Hg 0.250 0.250 0.250
Hg 0.750 0.750 0.750
Ir 0.500 0.500 0.500
Re 0.000 0.000 0.000

The calculation puts the total energy at -4.4518 eV per atom. The spin magnetization is 2.36 μB/cell. The calculation puts the formation energy at 1.026 eV/atom. The value obtained for the density is 18.280 Mg/m³. Its offset from the most stable computed form is 738.9 meV/atom.



VASP calculation (PBE) on crystalline Re2HgIr at its relaxed geometry.

Unit cell a=2.753 b=3.996 c=6.008 alpha=90.00 beta=90.00 gamma=90.00
Positions (direct):
Hg 0.500 0.500 0.250
Ir 0.500 0.500 0.750
Re 0.000 0.000 0.541
Re 0.000 0.000 0.959

The calculation puts the total energy at -7.9774 eV per atom. The spin magnetization is 0.00 μB/cell. The calculation puts the formation energy at 0.537 eV/atom. The value obtained for the density is 19.227 Mg/m³.



VASP calculation (PBE) on crystalline ReHg4Ir at its relaxed geometry.

Unit cell a=5.565 b=5.565 c=5.565 alpha=60.00 beta=60.00 gamma=60.00
Positions (direct):
Hg 0.875 0.375 0.375
Hg 0.375 0.375 0.375
Hg 0.375 0.375 0.875
Hg 0.375 0.875 0.375
Re 0.000 0.000 0.000
Ir 0.750 0.750 0.750

The calculation puts the total energy at -2.4574 eV per atom. The spin magnetization is 3.88 μB/cell. The calculation puts the formation energy at 1.295 eV/atom. The value obtained for the density is 16.090 Mg/m³.



VASP calculation (PBE) on crystalline Re2HgIr at its relaxed geometry.

Unit cell a=2.784 b=2.784 c=9.632 alpha=90.00 beta=90.00 gamma=117.97
Positions (direct):
Hg 0.000 0.000 0.503
Re 0.500 0.500 0.229
Re 0.000 0.000 0.001
Ir 0.500 0.500 0.767

The calculation puts the total energy at -7.9915 eV per atom. The spin magnetization is 0.00 μB/cell. The calculation puts the formation energy at 0.523 eV/atom. The value obtained for the density is 19.268 Mg/m³.



VASP calculation (PBE) on crystalline Re2HgIr at its relaxed geometry.

Unit cell a=9.512 b=9.512 c=9.512 alpha=17.08 beta=17.08 gamma=17.08
Positions (direct):
Ir 0.743 0.743 0.743
Re 0.000 0.000 0.000
Re 0.257 0.257 0.257
Hg 0.499 0.499 0.499

The calculation puts the total energy at -8.2362 eV per atom. The spin magnetization is 0.00 μB/cell. The calculation puts the formation energy at 0.279 eV/atom. The value obtained for the density is 19.622 Mg/m³.



VASP calculation (PBE) on crystalline Re2HgIr at its relaxed geometry.

Unit cell a=7.498 b=7.498 c=5.914 alpha=50.66 beta=50.66 gamma=90.00
Positions (direct):
Re 0.573 0.125 0.250
Re 0.177 0.625 0.250
Re 0.375 0.427 0.750
Re 0.875 0.823 0.750
Hg 0.750 0.250 0.500
Hg 0.000 0.000 0.000
Ir 0.250 0.750 0.500
Ir 0.500 0.500 0.000

The calculation puts the total energy at -7.4223 eV per atom. The spin magnetization is 0.00 μB/cell. The calculation puts the formation energy at 1.092 eV/atom. The value obtained for the density is 17.254 Mg/m³.



VASP calculation (PBE) on crystalline ReHg2Ir at its relaxed geometry.

Unit cell a=4.370 b=4.041 c=4.041 alpha=90.00 beta=90.00 gamma=90.00
Positions (direct):
Ir 0.500 0.500 0.000
Hg 0.000 0.000 0.000
Hg 0.000 0.500 0.500
Re 0.500 0.000 0.500

The calculation puts the total energy at -4.5047 eV per atom. The spin magnetization is 2.07 μB/cell. The calculation puts the formation energy at 0.973 eV/atom. The value obtained for the density is 18.142 Mg/m³. Its offset from the most stable computed form is 686.1 meV/atom.